Compound: LiZrRuPt
Source: the Alexandria database
Functional: PBE
Structure: optimized geometry

Total magnetic moment ... 0.0 μB/f.u.
Formation energy ... -539 meV per atom

Cell lengths 6.3263, 6.3263, 6.3263 Å; angles 90.00, 90.00, 90.00 degrees
Closest atoms and distances in Å follow each position.
Space group F-43m (No. 216)
One atom of each set of equivalent atoms:
Li (0.0000, 0.0000, 0.0000)  4 Ru 2.74, 4 Pt 2.74
Zr (0.0000, 0.0000, 0.5000)  4 Ru 2.74, 4 Pt 2.74
Ru (0.2500, 0.2500, 0.7500)  4 Zr 2.74, 4 Li 2.74
Pt (0.2500, 0.2500, 0.2500)  4 Zr 2.74, 4 Li 2.74